Entry 1:
Here is a relaxed structure of ZrIO2 from Alexandria via LeMat-Bulk. Energies are from PBE.

Structure (POSCAR):
```
ZrIO2
1.0
1.644 0.949 8.995
-1.644 0.949 8.995
0.000 -1.898 8.995
Zr I O
1 1 2
direct
0.000 0.000 0.000 Zr
0.500 0.500 0.500 I
0.369 0.369 0.369 O
0.631 0.631 0.631 O
```

Results
The space group is No. 166. Its final energy is -28.95 eV for the cell shown.

=====

Entry 2:
Here is a relaxed structure of ScPb2SI from Alexandria via LeMat-Bulk. Energies are from PBE.

Structure (POSCAR):
```
ScPb2SI
1.0
5.823 0.000 0.000
0.000 5.823 0.000
0.000 0.000 5.280
Sc Pb S I
1 2 1 1
direct
0.000 0.000 0.000 Sc
0.000 0.500 0.000 Pb
0.500 0.000 0.000 Pb
0.500 0.500 0.500 S
0.000 0.000 0.500 I
```

Results
The space group is No. 123. Its final energy is -18.24 eV for the cell shown.

=====

Entry 3:
Here is a relaxed structure of SrAl2Cr from Alexandria via LeMat-Bulk. Energies are from PBE.

Structure (POSCAR):
```
SrAl2Cr
1.0
-2.563 2.563 8.979
2.563 -2.563 8.979
2.563 2.563 -8.979
Sr Al Cr
2 4 2
direct
0.000 0.000 0.000 Sr
0.750 0.250 0.500 Sr
0.374 0.625 0.249 Al
0.375 0.624 0.749 Al
0.376 0.125 0.751 Al
0.875 0.626 0.251 Al
0.250 0.750 0.500 Cr
0.500 0.500 0.000 Cr
```

Results
The space group is No. 122. The value obtained for the energy of formation is 0.3874 eV per atom.

=====

Entry 4:
Here is a relaxed structure of NaVRu from Alexandria via LeMat-Bulk. Energies are from PBE.

Structure (POSCAR):
```
NaVRu
1.0
3.015 0.000 0.000
0.000 3.015 0.000
-0.012 0.000 12.437
Na V Ru
2 2 2
direct
0.000 0.000 0.000 Na
0.497 0.500 0.260 Na
0.997 0.000 0.468 V
0.998 0.000 0.716 V
0.498 0.500 0.579 Ru
0.499 0.500 0.814 Ru
```

Results
The space group is No. 6. The value obtained for the energy of formation is 0.1500 eV per atom.